Density functional theory data (GGA-PBE) for a relaxed structure of Hg3PAu.

a b c (Å): 5.397 5.397 5.397
angles (deg): 90.00 90.00 90.00
Space group Pm-3m (No. 221)
Unique sites:
Hg  0.000  0.000  0.500 x3
P  0.500  0.500  0.500 x1
Au  0.000  0.000  0.000 x1

Values from the calculation:
The total DFT energy (no corrections) is -0.0942 Ry per atom. The calculation puts the formation energy at 0.64 eV/atom. For the offset from the most stable computed form, the calculation gives 24.2 kJ/mol of atoms. As for the density of states at the Fermi level: 0.412 states/eV/atom.